Entry from the Alexandria database: crystalline PrGaAg4 at its relaxed geometry (GGA-PBE).

Uncorrected energy in eV per atom: -3.274
ΔH_f (0 K) in eV/atom: -0.07
D(E_F) in states/eV/atom: 0.403
ΔE to the lowest computed polymorph in meV per atom: 96.9

a = 5.323 Å, b = 4.909 Å, c = 10.271 Å
α = 103.81°, β = 104.97°, γ = 90.00°
Element x y z (fractional)
Ag: 0.217 0.645 0.789
Ag: 0.573 0.145 0.790
Ag: 0.427 0.855 0.210
Ag: 0.646 0.576 0.652
Ag: 0.994 0.923 0.348
Ag: 0.783 0.355 0.211
Ag: 0.006 0.077 0.652
Ag: 0.354 0.424 0.348
Ga: 0.000 0.500 0.500
Ga: 0.500 0.000 0.500
Pr: 0.225 0.250 0.000
Pr: 0.775 0.750 0.000



Entry from the Alexandria database: crystalline Li4Ag5Pd4 at its relaxed geometry (GGA-PBE).

Uncorrected energy in eV per atom: -3.513
ΔH_f (0 K) in eV/atom: -0.23
D(E_F) in states/eV/atom: 0.225

a = 4.023 Å, b = 7.415 Å, c = 7.415 Å
α = 85.78°, β = 74.26°, γ = 74.26°
Element x y z (fractional)
Li: 0.854 0.909 0.383
Li: 0.146 0.091 0.617
Li: 0.237 0.617 0.909
Li: 0.763 0.383 0.091
Ag: 0.696 0.850 0.758
Ag: 0.454 0.242 0.850
Ag: 0.546 0.758 0.150
Ag: 0.000 0.000 0.000
Ag: 0.304 0.150 0.242
Pd: 0.385 0.694 0.535
Pd: 0.080 0.535 0.306
Pd: 0.615 0.306 0.465
Pd: 0.920 0.465 0.694



Entry from the Alexandria database: crystalline HoPaP2 at its relaxed geometry (GGA-PBE).

Uncorrected energy in eV per atom: -6.818
ΔH_f (0 K) in eV/atom: -0.60
D(E_F) in states/eV/atom: 0.760
ΔE to the lowest computed polymorph in meV per atom: 860.4

a = 4.129 Å, b = 4.129 Å, c = 8.384 Å
α = 75.75°, β = 75.75°, γ = 60.00°
Element x y z (fractional)
P: 0.889 0.889 0.332
P: 0.111 0.111 0.668
Ho: 0.000 0.000 0.000
Pa: 0.500 0.500 0.500



Entry from the Alexandria database: crystalline CaScIO2 at its relaxed geometry (GGA-PBE).

Uncorrected energy in eV per atom: -4.821
ΔE_f (raw) in meV/atom: -860.9
D(E_F) in states/eV/atom: 1.087
ΔE to the lowest computed polymorph in meV per atom: 1037.7

a = 4.377 Å, b = 4.377 Å, c = 5.667 Å
α = 90.00°, β = 90.00°, γ = 90.00°
Element x y z (fractional)
O: 0.000 0.500 0.000
O: 0.500 0.000 0.000
Ca: 0.000 0.000 0.000
Sc: 0.500 0.500 0.500
I: 0.000 0.000 0.500



Entry from the Alexandria database: crystalline Sr2PrS3 at its relaxed geometry (GGA-PBE).

Uncorrected energy in eV per atom: -5.490
ΔE_f (raw) in meV/atom: -2069.6
D(E_F) in states/eV/atom: 0.224

a = 7.276 Å, b = 7.276 Å, c = 7.314 Å
α = 99.55°, β = 99.55°, γ = 119.95°
Element x y z (fractional)
S: 0.252 0.247 0.756
S: 0.591 0.924 0.757
S: 0.913 0.585 0.756
S: 0.076 0.409 0.243
S: 0.415 0.087 0.244
S: 0.753 0.748 0.244
Pr: 0.667 0.333 0.000
Pr: 0.000 0.000 0.000
Sr: 0.833 0.167 0.500
Sr: 0.333 0.667 0.000
Sr: 0.499 0.501 0.500
Sr: 0.168 0.832 0.500



Entry from the Alexandria database: crystalline Rb2ZnS at its relaxed geometry (GGA-PBE).

Uncorrected energy in eV per atom: -2.303
ΔE_f (raw) in meV/atom: -469.0
D(E_F) in states/eV/atom: 0.000

a = 5.738 Å, b = 5.738 Å, c = 5.738 Å
α = 60.00°, β = 60.00°, γ = 60.00°
Element x y z (fractional)
Rb: 0.250 0.250 0.250
Rb: 0.750 0.750 0.750
Zn: 0.500 0.500 0.500
S: 0.000 0.000 0.000



Entry from the Alexandria database: crystalline LiSc3Ga12 at its relaxed geometry (GGA-PBE).

Uncorrected energy in eV per atom: -3.989
ΔH_f (0 K) in eV/atom: -0.41
D(E_F) in states/eV/atom: 0.450

a = 4.109 Å, b = 4.109 Å, c = 16.357 Å
α = 90.00°, β = 90.00°, γ = 90.00°
Element x y z (fractional)
Ga: 0.000 0.500 0.118
Ga: 0.500 0.000 0.373
Ga: 0.500 0.000 0.882
Ga: 0.500 0.000 0.627
Ga: 0.000 0.500 0.627
Ga: 0.000 0.500 0.882
Ga: 0.500 0.500 0.500
Ga: 0.500 0.000 0.118
Ga: 0.000 0.500 0.373
Ga: 0.500 0.500 0.000
Ga: 0.500 0.500 0.250
Ga: 0.500 0.500 0.750
Sc: 0.000 0.000 0.500
Sc: 0.000 0.000 0.753
Sc: 0.000 0.000 0.247
Li: 0.000 0.000 0.000



Entry from the Alexandria database: crystalline V3TcRh6 at its relaxed geometry (GGA-PBE).

Uncorrected energy in eV per atom: -8.522
ΔH_f (0 K) in eV/atom: -0.34
D(E_F) in states/eV/atom: 0.964

a = 4.328 Å, b = 7.227 Å, c = 9.800 Å
α = 114.90°, β = 90.00°, γ = 90.00°
Element x y z (fractional)
Rh: 0.750 0.338 0.328
Rh: 0.750 0.733 0.529
Rh: 0.250 0.067 0.869
Rh: 0.750 0.933 0.131
Rh: 0.750 0.140 0.733
Rh: 0.250 0.463 0.072
Rh: 0.750 0.834 0.833
Rh: 0.250 0.860 0.267
Rh: 0.250 0.267 0.471
Rh: 0.250 0.166 0.167
Rh: 0.750 0.537 0.928
Rh: 0.250 0.662 0.672
Tc: 0.250 0.969 0.567
Tc: 0.750 0.031 0.433
V: 0.250 0.348 0.763
V: 0.750 0.232 0.032
V: 0.750 0.438 0.633
V: 0.750 0.652 0.237
V: 0.250 0.768 0.968
V: 0.250 0.562 0.367



Entry from the Alexandria database: crystalline Sr3GdRhO6 at its relaxed geometry (GGA-PBE).

Uncorrected energy in eV per atom: -7.629
ΔE_f (raw) in meV/atom: -2517.3
D(E_F) in states/eV/atom: 0.000

a = 6.881 Å, b = 6.881 Å, c = 6.881 Å
α = 91.94°, β = 91.94°, γ = 91.94°
Element x y z (fractional)
Sr: 0.750 0.381 0.119
Sr: 0.250 0.619 0.881
Sr: 0.881 0.250 0.619
Sr: 0.381 0.119 0.750
Sr: 0.619 0.881 0.250
Sr: 0.119 0.750 0.381
O: 0.292 0.954 0.088
O: 0.412 0.546 0.208
O: 0.208 0.412 0.546
O: 0.454 0.792 0.588
O: 0.546 0.208 0.412
O: 0.954 0.088 0.292
O: 0.708 0.046 0.912
O: 0.912 0.708 0.046
O: 0.046 0.912 0.708
O: 0.588 0.454 0.792
O: 0.088 0.292 0.954
O: 0.792 0.588 0.454
Gd: 0.250 0.250 0.250
Gd: 0.750 0.750 0.750
Rh: 0.000 0.000 0.000
Rh: 0.500 0.500 0.500



Entry from the Alexandria database: crystalline PrY5Cd3 at its relaxed geometry (GGA-PBE).

Uncorrected energy in eV per atom: -4.621
ΔH_f (0 K) in eV/atom: -0.19
D(E_F) in states/eV/atom: 0.767

a = 6.991 Å, b = 9.270 Å, c = 9.270 Å
α = 120.00°, β = 90.00°, γ = 90.00°
Element x y z (fractional)
Cd: 0.250 0.661 0.661
Cd: 0.750 0.000 0.661
Cd: 0.750 0.661 0.000
Cd: 0.250 0.339 0.000
Cd: 0.250 0.000 0.339
Cd: 0.750 0.339 0.339
Y: 0.000 0.333 0.667
Y: 0.250 0.333 0.333
Y: 0.500 0.333 0.667
Y: 0.000 0.667 0.333
Y: 0.750 0.333 0.000
Y: 0.250 0.000 0.667
Y: 0.500 0.667 0.333
Y: 0.750 0.000 0.333
Y: 0.250 0.667 0.000
Y: 0.750 0.667 0.667
Pr: 0.500 0.000 0.000
Pr: 0.000 0.000 0.000



Entry from the Alexandria database: crystalline SrLiY2 at its relaxed geometry (GGA-PBE).

Uncorrected energy in eV per atom: -3.911
ΔH_f (0 K) in eV/atom: 0.22
D(E_F) in states/eV/atom: 1.644
ΔE to the lowest computed polymorph in meV per atom: 112.1

a = 6.757 Å, b = 6.757 Å, c = 6.757 Å
α = 146.36°, β = 128.22°, γ = 63.18°
Element x y z (fractional)
Sr: 0.276 0.776 0.500
Y: 0.724 0.224 0.500
Y: 0.993 0.993 0.000
Li: 0.507 0.507 0.000



Entry from the Alexandria database: crystalline KSe2SN at its relaxed geometry (GGA-PBE).

Uncorrected energy in eV per atom: -1.905
ΔE_f (raw) in meV/atom: 2198.9
D(E_F) in states/eV/atom: 1.608
ΔE to the lowest computed polymorph in meV per atom: 1756.8

a = 5.729 Å, b = 5.729 Å, c = 4.290 Å
α = 90.00°, β = 90.00°, γ = 90.00°
Element x y z (fractional)
S: 0.500 0.500 0.500
Se: 0.500 0.000 0.000
Se: 0.000 0.500 0.000
N: 0.000 0.000 0.500
K: 0.000 0.000 0.000



Entry from the Alexandria database: crystalline Sc2TlSb at its relaxed geometry (GGA-PBE).

Uncorrected energy in eV per atom: -5.221
ΔE_f (raw) in meV/atom: -433.1
D(E_F) in states/eV/atom: 0.810
ΔE to the lowest computed polymorph in meV per atom: 85.9

a = 5.283 Å, b = 5.283 Å, c = 3.495 Å
α = 85.44°, β = 85.44°, γ = 102.27°
Element x y z (fractional)
Sc: 0.000 0.000 0.000
Sc: 0.500 0.500 0.000
Tl: 0.500 0.000 0.500
Sb: 0.000 0.500 0.500



Entry from the Alexandria database: crystalline PmDy2Er7 at its relaxed geometry (GGA-PBE).

Uncorrected energy in eV per atom: -3.879
ΔH_f (0 K) in eV/atom: 0.71
D(E_F) in states/eV/atom: 1.520
ΔE to the lowest computed polymorph in meV per atom: 690.9

a = 5.490 Å, b = 9.213 Å, c = 9.213 Å
α = 123.93°, β = 90.00°, γ = 90.00°
Element x y z (fractional)
Dy: 0.500 0.703 0.297
Dy: 0.500 0.297 0.703
Er: 0.500 0.710 0.937
Er: 0.000 0.210 0.790
Er: 0.500 0.290 0.063
Er: 0.500 0.063 0.290
Er: 0.500 0.500 0.500
Er: 0.500 0.937 0.710
Er: 0.000 0.790 0.210
Pm: 0.000 0.000 0.000



Entry from the Alexandria database: crystalline NaSmIn2Br6 at its relaxed geometry (GGA-PBE).

Uncorrected energy in eV per atom: -3.483
ΔE_f (raw) in meV/atom: -1327.9
D(E_F) in states/eV/atom: 0.000

a = 7.980 Å, b = 7.980 Å, c = 8.128 Å
α = 60.58°, β = 60.58°, γ = 59.96°
Element x y z (fractional)
Br: 0.664 0.103 0.769
Br: 0.580 0.167 0.264
Br: 0.989 0.581 0.263
Br: 0.464 0.664 0.769
Br: 0.103 0.464 0.769
Br: 0.167 0.989 0.264
Sm: 0.321 0.321 0.037
In: 0.026 0.026 0.921
In: 0.531 0.531 0.406
Na: 0.815 0.816 0.553



Entry from the Alexandria database: crystalline ZrSi2Pt at its relaxed geometry (GGA-PBE).

Uncorrected energy in eV per atom: -6.629
ΔE_f (raw) in meV/atom: -270.7
D(E_F) in states/eV/atom: 0.652

a = 8.487 Å, b = 8.487 Å, c = 8.487 Å
α = 20.71°, β = 20.71°, γ = 20.71°
Element x y z (fractional)
Zr: 0.502 0.502 0.502
Si: 0.258 0.258 0.258
Si: 0.001 0.001 0.001
Pt: 0.739 0.739 0.739



Entry from the Alexandria database: crystalline SbP2Cl at its relaxed geometry (GGA-PBE).

Uncorrected energy in eV per atom: -3.868
ΔE_f (raw) in meV/atom: 329.6
D(E_F) in states/eV/atom: 0.584
ΔE to the lowest computed polymorph in meV per atom: 363.7

a = 3.838 Å, b = 3.838 Å, c = 6.263 Å
α = 90.00°, β = 90.00°, γ = 90.00°
Element x y z (fractional)
P: 0.000 0.000 0.076
P: 0.000 0.000 0.424
Sb: 0.500 0.500 0.250
Cl: 0.500 0.500 0.750



Entry from the Alexandria database: crystalline LaHf2TlH at its relaxed geometry (GGA-PBE).

Uncorrected energy in eV per atom: -4.530
D(E_F) in states/eV/atom: 1.399

a = 5.348 Å, b = 6.234 Å, c = 5.348 Å
α = 90.00°, β = 90.00°, γ = 90.00°
Element x y z (fractional)
La: 0.000 0.500 0.000
H: 0.500 0.500 0.500
Tl: 0.000 0.000 0.000
Hf: 0.500 0.000 0.000
Hf: 0.000 0.000 0.500



Entry from the Alexandria database: crystalline Ba7Cd2Pt2 at its relaxed geometry (GGA-PBE).

Uncorrected energy in eV per atom: -2.886
ΔH_f (0 K) in eV/atom: -0.40
D(E_F) in states/eV/atom: 0.928

a = 7.867 Å, b = 8.079 Å, c = 7.867 Å
α = 90.00°, β = 107.62°, γ = 90.00°
Element x y z (fractional)
Pt: 0.710 0.000 0.290
Pt: 0.290 0.000 0.710
Ba: 0.000 0.000 0.000
Ba: 0.500 0.759 0.500
Ba: 0.500 0.745 0.000
Ba: 0.000 0.745 0.500
Ba: 0.000 0.255 0.500
Ba: 0.500 0.255 0.000
Ba: 0.500 0.241 0.500
Cd: 0.837 0.500 0.837
Cd: 0.163 0.500 0.163



Entry from the Alexandria database: crystalline Ac2PrTmS4 at its relaxed geometry (GGA-PBE).

Uncorrected energy in eV per atom: -6.218
ΔE_f (raw) in meV/atom: -1971.0
D(E_F) in states/eV/atom: 0.543

a = 4.058 Å, b = 7.113 Å, c = 7.342 Å
α = 108.41°, β = 90.00°, γ = 90.00°
Element x y z (fractional)
Ac: 0.500 0.000 0.500
Ac: 0.000 0.500 0.500
Tm: 0.000 0.000 0.000
S: 0.000 0.245 0.772
S: 0.500 0.228 0.220
S: 0.000 0.755 0.228
S: 0.500 0.772 0.780
Pr: 0.500 0.500 0.000



Entry from the Alexandria database: crystalline BaCeRh4 at its relaxed geometry (GGA-PBE).

Uncorrected energy in eV per atom: -6.599
ΔH_f (0 K) in eV/atom: -0.39
D(E_F) in states/eV/atom: 0.854

a = 5.465 Å, b = 5.465 Å, c = 5.465 Å
α = 60.00°, β = 60.00°, γ = 60.00°
Element x y z (fractional)
Rh: 0.123 0.626 0.626
Rh: 0.626 0.626 0.626
Rh: 0.626 0.123 0.626
Rh: 0.626 0.626 0.123
Ba: 0.250 0.250 0.250
Ce: 0.000 0.000 0.000



Entry from the Alexandria database: crystalline TbPd3Rh4O12 at its relaxed geometry (GGA-PBE).

Uncorrected energy in eV per atom: -6.401
ΔE_f (raw) in meV/atom: -945.2
D(E_F) in states/eV/atom: 0.894

a = 6.608 Å, b = 6.608 Å, c = 6.608 Å
α = 109.47°, β = 109.47°, γ = 109.47°
Element x y z (fractional)
Pd: 0.500 0.000 0.500
Pd: 0.000 0.500 0.500
Pd: 0.500 0.500 0.000
Rh: 0.500 0.500 0.500
Rh: 0.000 0.000 0.500
Rh: 0.000 0.500 0.000
Rh: 0.500 0.000 0.000
O: 0.831 0.536 0.705
O: 0.169 0.464 0.295
O: 0.295 0.169 0.464
O: 0.705 0.169 0.874
O: 0.169 0.874 0.705
O: 0.295 0.831 0.126
O: 0.464 0.295 0.169
O: 0.126 0.295 0.831
O: 0.705 0.831 0.536
O: 0.874 0.705 0.169
O: 0.536 0.705 0.831
O: 0.831 0.126 0.295
Tb: 0.000 0.000 0.000